Version 1
VASP calculation (PBE-GGA) on crystalline Pm2ErBe at its relaxed geometry.

## Properties
space group	R-3m (166)
density of states at the Fermi level	4.24	states/eV/cell
volume	29.982	Å³/atom

Cell lengths 11.7453, 11.7453, 11.7453 Å; angles 16.93, 16.93, 16.93 degrees
Closest atoms and distances in Å follow each position.
Positions (direct):
Pm  0.0846  0.0846  0.0846  1 Be 2.94
Pm  0.9154  0.9154  0.9154  1 Be 2.94
Er  0.5000  0.5000  0.5000  6 Er 3.46, 6 Pm 3.48
Be  0.0000  0.0000  0.0000  2 Pm 2.94


Version 2
VASP calculation (PBE-GGA) on crystalline Pm2ErBe at its relaxed geometry.

## Properties
space group	P4/mmm (123)
density of states at the Fermi level	4.40	states/eV/cell
volume	27.049	Å³/atom

Cell lengths 3.5564, 3.5564, 8.5546 Å; angles 90.00, 90.00, 90.00 degrees
Closest atoms and distances in Å follow each position.
Positions (direct):
Pm  0.0000  0.0000  0.1984  4 Be 3.03, 1 Pm 3.39
Pm  0.0000  0.0000  0.8016  4 Be 3.03, 1 Pm 3.39
Er  0.5000  0.5000  0.5000  4 Er 3.56, 8 Pm 3.60
Be  0.5000  0.5000  0.0000  8 Pm 3.03


The structure with the least stability is version 1.


Version 1
VASP calculation (PBE-GGA) on crystalline PmErBe2 at its relaxed geometry.

## Properties
space group	P4/mmm (123)
density of states at the Fermi level	3.92	states/eV/cell
volume	20.278	Å³/atom

Cell lengths 3.4302, 3.4302, 6.8937 Å; angles 90.00, 90.00, 90.00 degrees
Closest atoms and distances in Å follow each position.
Positions (direct):
Pm  0.0000  0.0000  0.0000  8 Be 3.09, 4 Pm 3.43, 2 Er 3.45
Er  0.0000  0.0000  0.5000  8 Be 2.87
Be  0.5000  0.5000  0.2769  4 Er 2.87, 1 Be 3.08, 4 Pm 3.09
Be  0.5000  0.5000  0.7231  4 Er 2.87, 1 Be 3.08, 4 Pm 3.09


Version 2
VASP calculation (PBE-GGA) on crystalline PmErBe2 at its relaxed geometry.

## Properties
space group	Fm-3m (225)
density of states at the Fermi level	4.58	states/eV/cell
volume	20.321	Å³/atom

Cell lengths 4.8623, 4.8623, 4.8623 Å; angles 60.00, 60.00, 60.00 degrees
Closest atoms and distances in Å follow each position.
Positions (direct):
Pm  0.0000  0.0000  0.0000  8 Be 2.98
Er  0.5000  0.5000  0.5000  8 Be 2.98
Be  0.2500  0.2500  0.2500  4 Er 2.98, 4 Pm 2.98
Be  0.7500  0.7500  0.7500  4 Er 2.98, 4 Pm 2.98


The structure with the least stability is version 2.


Version 1
VASP calculation (PBE-GGA) on crystalline ErBePt2 at its relaxed geometry.

## Properties
space group	Cmmm (65)
density of states at the Fermi level	2.80	states/eV/cell
volume	17.007	Å³/atom

Cell lengths 8.8183, 8.8183, 3.9137 Å; angles 90.00, 90.00, 153.45 degrees
Closest atoms and distances in Å follow each position.
Positions (direct):
Er  0.1422  0.8578  0.0000  8 Pt 2.98-3.17, 4 Be 3.07
Er  0.8578  0.1422  0.0000  8 Pt 2.98-3.17, 4 Be 3.07
Be  0.4290  0.5710  0.5000  5 Pt 2.20-2.36, 1 Be 2.44
Be  0.5710  0.4290  0.5000  5 Pt 2.20-2.36, 1 Be 2.44
Pt  0.0000  0.0000  0.5000  4 Be 2.36
Pt  0.3006  0.6994  0.5000  1 Be 2.20
Pt  0.5000  0.5000  0.0000  4 Be 2.31
Pt  0.6994  0.3006  0.5000  1 Be 2.20


Version 2
VASP calculation (PBE-GGA) on crystalline ErBePt2 at its relaxed geometry.

## Properties
space group	Cmmm (65)
density of states at the Fermi level	1.72	states/eV/cell
volume	17.167	Å³/atom

Cell lengths 4.6656, 4.6656, 3.3723 Å; angles 90.00, 90.00, 110.70 degrees
Closest atoms and distances in Å follow each position.
Positions (direct):
Er  0.0000  0.0000  0.0000  2 Be 2.65, 4 Pt 2.94
Be  0.5000  0.5000  0.0000  4 Pt 2.21
Pt  0.3131  0.6869  0.5000  2 Be 2.21
Pt  0.6869  0.3131  0.5000  2 Be 2.21


The structure with the least stability is version 2.